(1)
## Rb2Ti2O (PBE-GGA)

Data for Rb2Ti2O after structural relaxation.

The value obtained for the energy above the most stable polymorph in this dataset is 0.591 eV/atom. The calculated total energy comes out at -37.2 eV per cell. The value obtained for the calculated volume is 345.23 Å³/cell. The value obtained for the raw formation energy is 814 meV per atom.

It has space group P4/mbm (No. 127), with a = 6.826 Å, b = 6.826 Å, c = 7.409 Å, α = 90.00°, β = 90.00° and γ = 90.00°. The distinct sites, in fractional coordinates, are Rb at (0.167, 0.333, 0.000), Ti at (0.107, 0.607, 0.500) and O at (0.000, 0.000, 0.000).


(2)
## PPtAu (PBE-GGA)

Data for PPtAu after structural relaxation.

The value obtained for the energy above the most stable polymorph in this dataset is 0.051 eV/atom. Its energy of formation is -0.087 eV/atom. The calculated total energy comes out at -15.0 eV per cell. The value obtained for the calculated volume is 53.29 Å³/cell.

It has space group P3m1 (No. 156), with a = 3.3201 Å, b = 3.3201 Å, c = 5.5827 Å, α = 90.00°, β = 90.00° and γ = 120.00°. The distinct sites, in fractional coordinates, are P at (0.0000, 0.0000, 0.0000), Pt at (0.6667, 0.3333, 0.2370) and Au at (0.3333, 0.6667, 0.6065).


(3)
## GdHoTl2 (PBE-GGA)

Data for GdHoTl2 after structural relaxation.

The value obtained for the energy above the most stable polymorph in this dataset is 0.013 eV/atom. Its energy of formation is -0.354 eV/atom. The calculated total energy comes out at -99.2 eV per cell. The value obtained for the calculated volume is 441.42 Å³/cell.

It has space group Fm-3m (No. 225), with a = 7.614 Å, b = 7.614 Å, c = 7.614 Å, α = 90.00°, β = 90.00° and γ = 90.00°. The distinct sites, in fractional coordinates, are Gd at (0.000, 0.000, 0.000), Ho at (0.000, 0.000, 0.500) and Tl at (0.250, 0.250, 0.250).


(4)
## LiFeReOs (PBE-GGA)

Data for LiFeReOs after structural relaxation.

Its energy of formation is 0.121 eV/atom. The calculated total energy comes out at -134.3 eV per cell. The value obtained for the calculated volume is 205.07 Å³/cell.

It has space group F-43m (No. 216), with a = 5.897 Å, b = 5.897 Å, c = 5.897 Å, α = 90.00°, β = 90.00° and γ = 90.00°. The distinct sites, in fractional coordinates, are Li at (0.000, 0.000, 0.000), Fe at (0.250, 0.250, 0.750), Re at (0.000, 0.000, 0.500) and Os at (0.250, 0.250, 0.250).


(5)
## LaPuRuAu (PBE-GGA)

Data for LaPuRuAu after structural relaxation.

Its energy of formation is -0.263 eV/atom. The calculated total energy comes out at -131.5 eV per cell. The value obtained for the calculated volume is 370.73 Å³/cell.

It has space group F-43m (No. 216), with a = 7.184 Å, b = 7.184 Å, c = 7.184 Å, α = 90.00°, β = 90.00° and γ = 90.00°. The distinct sites, in fractional coordinates, are La at (0.000, 0.000, 0.000), Pu at (0.000, 0.000, 0.500), Ru at (0.250, 0.250, 0.750) and Au at (0.250, 0.250, 0.250).


(6)
## Ba2InPbO5 (PBE-GGA)

Data for Ba2InPbO5 after structural relaxation.

The calculated total energy comes out at -204.9 eV per cell. The value obtained for the calculated volume is 640.31 Å³/cell. The value obtained for the raw formation energy is -1794 meV per atom.

It has space group Cmc2_1 (No. 36), with a = 3.678 Å, b = 15.071 Å, c = 11.553 Å, α = 90.00°, β = 90.00° and γ = 90.00°. The distinct sites, in fractional coordinates, are Ba at (0.000, 0.107, 0.000), Ba at (0.000, 0.143, 0.619), In at (0.000, 0.222, 0.342), Pb at (0.000, 0.461, 0.780), O at (0.000, 0.073, 0.378), O at (0.000, 0.277, 0.966), O at (0.000, 0.314, 0.719), O at (0.000, 0.364, 0.317) and O at (0.000, 0.497, 0.100).


(7)
## TiCrReC2 (PBE-GGA)

Data for TiCrReC2 after structural relaxation.

Its energy of formation is 1.842 eV/atom. The calculated total energy comes out at -39.2 eV per cell. The value obtained for the calculated volume is 77.35 Å³/cell.

It has space group P4/mmm (No. 123), with a = 3.947 Å, b = 3.947 Å, c = 4.966 Å, α = 90.00°, β = 90.00° and γ = 90.00°. The distinct sites, in fractional coordinates, are Ti at (0.000, 0.000, 0.000), Cr at (0.500, 0.500, 0.000), Re at (0.000, 0.000, 0.500) and C at (0.000, 0.500, 0.500).


> Which value of calculated volume does entry 3 give?

441.42 Å³/cell